The following is a PBE calculation of a geometry-optimized IrPbAu2 structure, from Alexandria via LeMat-Bulk.

Cell lengths 5.5749, 5.5749, 5.5749 Å; angles 138.08, 138.08, 60.78 degrees
Last column: nearest neighbours and their distance in Å.
Fractional coordinates of all 4 atoms:
Au1 0.0000 0.0000 0.0000  4 Au 2.82, 4 Pb 3.12, 4 Ir 3.12
Au2 0.5000 0.5000 0.0000  4 Au 2.82, 4 Ir 3.12, 4 Pb 3.12
Ir1 0.2500 0.7500 0.5000  4 Pb 2.82, 8 Au 3.12
Pb1 0.7500 0.2500 0.5000  4 Ir 2.82, 8 Au 3.12

Computed properties:
The formation energy comes out at 0.356 eV per atom. As for the total energy: -4.425 eV/atom.